1.
Density functional theory data (PBE) for LiNb2Te after structural relaxation.

Structure (CIF):
```
data_LiNb2Te
_cell_length_a 3.8946
_cell_length_b 3.8946
_cell_length_c 20.7761
_cell_angle_alpha 90.00
_cell_angle_beta 90.00
_cell_angle_gamma 90.00
_symmetry_space_group_name_H-M 'I -4 2 d'
_symmetry_Int_Tables_number 122
_symmetry_space_group_name_Hall 'I -4 2bw'
loop_
_atom_site_label
_atom_site_type_symbol
_atom_site_fract_x
_atom_site_fract_y
_atom_site_fract_z
Li1 Li 0.0000 0.0000 0.0000
Nb1 Nb 0.2442 0.2500 0.6250
Te1 Te 0.0000 0.0000 0.5000
```

Summary:
The value obtained for the uncorrected formation energy is 0.19 eV/atom. The value obtained for the uncorrected energy is -97.71 eV per cell.

2.
Density functional theory data (PBE) for Mg3MnCu after structural relaxation.

Structure (CIF):
```
data_Mg3MnCu
_cell_length_a 5.0234
_cell_length_b 5.0234
_cell_length_c 5.0234
_cell_angle_alpha 90.00
_cell_angle_beta 90.00
_cell_angle_gamma 90.00
_symmetry_space_group_name_H-M 'P m -3 m'
_symmetry_Int_Tables_number 221
_symmetry_space_group_name_Hall '-P 4 2 3'
loop_
_atom_site_label
_atom_site_type_symbol
_atom_site_fract_x
_atom_site_fract_y
_atom_site_fract_z
Mg1 Mg 0.0000 0.0000 0.5000
Mn1 Mn 0.0000 0.0000 0.0000
Cu1 Cu 0.5000 0.5000 0.5000
```

Summary:
The value obtained for the uncorrected energy is -13.53 eV per cell. Its offset from the most stable computed form is 439 meV/atom. As for the calculated formation energy: 0.9030 eV per atom.

3.
Density functional theory data (PBE) for TbCeSm after structural relaxation.

Structure (CIF):
```
data_TbCeSm
_cell_length_a 3.5400
_cell_length_b 3.5400
_cell_length_c 8.7045
_cell_angle_alpha 90.00
_cell_angle_beta 90.00
_cell_angle_gamma 120.00
_symmetry_space_group_name_H-M 'P 3 m 1'
_symmetry_Int_Tables_number 156
_symmetry_space_group_name_Hall 'P 3 -2"'
loop_
_atom_site_label
_atom_site_type_symbol
_atom_site_fract_x
_atom_site_fract_y
_atom_site_fract_z
Tb1 Tb 0.0000 0.0000 0.0000
Ce1 Ce 0.6667 0.3333 0.3246
Sm1 Sm 0.3333 0.6667 0.6536
```

Summary:
The value obtained for the uncorrected energy is -15.07 eV per cell. Its offset from the most stable computed form is 0 meV/atom. As for the calculated formation energy: 0.0707 eV per atom.

4.
Density functional theory data (PBE) for KCoCl4 after structural relaxation.

Structure (CIF):
```
data_KCoCl4
_cell_length_a 8.5912
_cell_length_b 8.5912
_cell_length_c 8.5912
_cell_angle_alpha 90.00
_cell_angle_beta 90.00
_cell_angle_gamma 90.00
_symmetry_space_group_name_H-M 'F -4 3 m'
_symmetry_Int_Tables_number 216
_symmetry_space_group_name_Hall 'F -4 2 3'
loop_
_atom_site_label
_atom_site_type_symbol
_atom_site_fract_x
_atom_site_fract_y
_atom_site_fract_z
K1 K 0.0000 0.0000 0.0000
Co1 Co 0.2500 0.2500 0.2500
Cl1 Cl 0.1244 0.1244 0.6244
```

Summary:
The value obtained for the uncorrected formation energy is 0.28 eV/atom. The value obtained for the uncorrected energy is -55.72 eV per cell. Its offset from the most stable computed form is 1297 meV/atom.

Which DOS(E_F) belongs to each record? In order, 18.962; 5.088; 6.747; 38.279 states/eV/cell.